Run i
The following is a DFT calculation (PBE) of a relaxed Nd2Hg3Pd2 crystal.

Geometry as POSCAR:
```
Nd2Hg3Pd2
1.0
-3.7817 1.5623 0.6703
-0.2119 -4.5111 -3.5054
-0.6110 -4.1766 6.2880
Pd Nd Hg
2 2 3
Direct
0.0943 0.1886 0.6318
0.9057 0.8114 0.3682
0.6206 0.2411 0.3356
0.3794 0.7589 0.6644
0.3088 0.6177 0.1399
0.6912 0.3823 0.8601
0.0000 0.0000 0.0000
```

Computed properties:
M_tot: 0.0 μB per cell
symmetry: C2/m (12)

Run ii
The following is a DFT calculation (PBE) of a relaxed Nd2Hg3Pd2 crystal.

Geometry as POSCAR:
```
Nd2Hg3Pd2
1.0
-3.8607 -2.2242 -0.7705
4.5478 -2.8291 -1.3524
-1.0303 -0.7907 7.4450
Pd Nd Hg
2 2 3
Direct
0.1546 0.3092 0.1929
0.8454 0.6908 0.8071
0.8608 0.7217 0.2242
0.1392 0.2783 0.7758
0.6276 0.2553 0.4412
0.5000 0.0000 0.0000
0.3724 0.7447 0.5588
```

Computed properties:
M_tot: 0.0 μB per cell
symmetry: C2/m (12)

Which one sits at the top of the stability order? run ii does.

Run i
The following is a DFT calculation (PBE) of a relaxed Nd3Hg2Pd crystal.

Geometry as POSCAR:
```
Nd3Hg2Pd
1.0
3.7728 0.0000 0.0000
0.0000 3.7728 0.0000
0.0000 0.0000 11.2535
Hg Pd Nd
2 1 3
Direct
0.5000 0.5000 0.8286
0.5000 0.5000 0.1714
0.5000 0.5000 0.5000
0.0000 0.0000 0.6519
0.0000 0.0000 0.3481
0.0000 0.0000 0.0000
```

Computed properties:
M_tot: 0.2 μB per cell
symmetry: P4/mmm (123)

Run ii
The following is a DFT calculation (PBE) of a relaxed Nd3Hg2Pd crystal.

Geometry as POSCAR:
```
Nd3Hg2Pd
1.0
6.1555 0.0000 0.0000
0.0000 7.9725 0.0021
-3.0777 -1.9939 7.3290
Pd Nd Hg
2 6 4
Direct
0.9984 0.2500 0.0000
0.0016 0.7500 0.0000
0.8594 0.4296 0.7166
0.1406 0.5704 0.2834
0.4980 0.2500 0.0000
0.5020 0.7500 0.0000
0.8572 0.9296 0.7166
0.1428 0.0704 0.2834
0.6844 0.0925 0.3665
0.3179 0.4075 0.6335
0.6821 0.5925 0.3665
0.3156 0.9075 0.6335
```

Computed properties:
M_tot: 0.0 μB per cell
symmetry: C2/c (15)

Which one sits at the top of the stability order? run i does.

Run i
The following is a DFT calculation (PBE) of a relaxed NdHg2Pd9 crystal.

Geometry as POSCAR:
```
NdHg2Pd9
1.0
4.1114 0.0000 0.0000
0.0000 4.1114 0.0000
0.0000 0.0000 12.3014
Hg Pd Nd
2 9 1
Direct
0.0000 0.0000 0.6609
0.0000 0.0000 0.3391
0.5000 0.0000 0.5000
0.5000 0.5000 0.6646
0.5000 0.5000 0.3354
0.0000 0.5000 0.1746
0.0000 0.5000 0.5000
0.5000 0.0000 0.8254
0.0000 0.5000 0.8254
0.5000 0.0000 0.1746
0.5000 0.5000 0.0000
0.0000 0.0000 0.0000
```

Computed properties:
M_tot: 0.0 μB per cell
symmetry: P4/mmm (123)

Run ii
The following is a DFT calculation (PBE) of a relaxed NdHg2Pd9 crystal.

Geometry as POSCAR:
```
NdHg2Pd9
1.0
-2.4022 0.4209 -4.7981
-5.3720 -0.0312 -0.3321
-2.6922 8.8314 -0.8962
Pd Hg Nd
9 2 1
Direct
0.6663 0.6663 0.0012
0.4122 0.9187 0.2569
0.5000 0.5000 0.5000
0.3337 0.3337 0.9988
0.5878 0.5878 0.7431
0.5878 0.0813 0.7431
0.4122 0.4122 0.2569
0.0813 0.5878 0.7431
0.9187 0.4122 0.2569
0.8589 0.8589 0.4234
0.1411 0.1411 0.5766
0.0000 0.0000 0.0000
```

Computed properties:
M_tot: 0.0 μB per cell
symmetry: R-3m (166)

Which one sits at the top of the stability order? run i does.

Run i
The following is a DFT calculation (PBE) of a relaxed NdHg3Pd3 crystal.

Geometry as POSCAR:
```
NdHg3Pd3
1.0
-5.6627 4.3504 0.2865
-5.7701 -1.8888 3.7700
-1.2478 3.8002 6.7680
Hg Pd Nd
6 6 2
Direct
0.5572 0.7320 0.6265
0.4428 0.2680 0.3735
0.9157 0.4428 0.3735
0.2680 0.9157 0.3735
0.7320 0.0843 0.6265
0.0843 0.5572 0.6265
0.9342 0.1789 0.1720
0.1789 0.7150 0.1720
0.2850 0.0658 0.8280
0.8211 0.2850 0.8280
0.7150 0.9342 0.1720
0.0658 0.8211 0.8280
0.3412 0.3412 0.9764
0.6588 0.6588 0.0236
```

Computed properties:
M_tot: 0.0 μB per cell
symmetry: R-3 (148)

Run ii
The following is a DFT calculation (PBE) of a relaxed NdHg3Pd3 crystal.

Geometry as POSCAR:
```
NdHg3Pd3
1.0
7.3586 0.0000 0.0000
0.0000 7.3586 0.0000
0.0000 0.0000 7.3586
Pd Nd Hg
6 2 6
Direct
0.5000 0.0000 0.2500
0.7500 0.5000 0.0000
0.0000 0.2500 0.5000
0.2500 0.5000 0.0000
0.5000 0.0000 0.7500
0.0000 0.7500 0.5000
0.5000 0.5000 0.5000
0.0000 0.0000 0.0000
0.5000 0.2500 0.0000
0.7500 0.0000 0.5000
0.2500 0.0000 0.5000
0.0000 0.5000 0.2500
0.5000 0.7500 0.0000
0.0000 0.5000 0.7500
```

Computed properties:
M_tot: 0.0 μB per cell
symmetry: Pm-3n (223)

Which one sits at the top of the stability order? run i does.

Run i
The following is a DFT calculation (PBE) of a relaxed Nd4HgPd crystal.

Geometry as POSCAR:
```
Nd4HgPd
1.0
8.6457 0.0000 4.9916
2.8819 8.1513 4.9916
0.0000 0.0000 9.9832
Nd Hg Pd
16 4 4
Direct
0.1861 0.8139 0.1861
0.9425 0.9425 0.5575
0.3959 0.8123 0.3959
0.8139 0.8139 0.1861
0.1861 0.1861 0.8139
0.8139 0.1861 0.1861
0.9425 0.5575 0.5575
0.5575 0.9425 0.9425
0.9425 0.5575 0.9425
0.8123 0.3959 0.3959
0.3959 0.3959 0.8123
0.3959 0.3959 0.3959
0.5575 0.5575 0.9425
0.8139 0.1861 0.8139
0.1861 0.8139 0.8139
0.5575 0.9425 0.5575
0.1651 0.1651 0.5047
0.1651 0.1651 0.1651
0.5047 0.1651 0.1651
0.1651 0.5047 0.1651
0.1837 0.6054 0.6054
0.6054 0.6054 0.1837
0.6054 0.6054 0.6054
0.6054 0.1837 0.6054
```

Computed properties:
M_tot: 0.0 μB per cell
symmetry: F-43m (216)

Run ii
The following is a DFT calculation (PBE) of a relaxed Nd4HgPd crystal.

Geometry as POSCAR:
```
Nd4HgPd
1.0
-5.2418 4.5301 2.0883
-1.3995 -4.3345 5.8899
5.2668 3.5118 3.8358
Nd Hg Pd
8 2 2
Direct
0.6240 0.1484 0.8333
0.8247 0.1579 0.3502
0.8760 0.6484 0.1667
0.6753 0.6579 0.6498
0.1240 0.3516 0.8333
0.3760 0.8516 0.1667
0.1753 0.8421 0.6498
0.3247 0.3421 0.3502
0.5000 0.5000 0.0000
0.0000 0.0000 0.0000
0.0000 0.5000 0.5000
0.5000 0.0000 0.5000
```

Computed properties:
M_tot: 0.0 μB per cell
symmetry: P2_1/c (14)

Which one sits at the top of the stability order? run i does.

Run i
The following is a DFT calculation (PBE) of a relaxed NdSmHgPd crystal.

Geometry as POSCAR:
```
NdSmHgPd
1.0
-1.3587 -4.3834 -2.5491
1.1808 -4.6928 2.0350
-3.8098 -3.0694 1.9033
Sm Nd Hg Pd
1 1 1 1
Direct
0.7500 0.7500 0.7500
0.2500 0.2500 0.2500
0.5000 0.5000 0.5000
0.0000 0.0000 0.0000
```

Computed properties:
M_tot: 0.0 μB per cell
symmetry: F-43m (216)

Run ii
The following is a DFT calculation (PBE) of a relaxed NdSmHgPd crystal.

Geometry as POSCAR:
```
NdSmHgPd
1.0
3.9274 0.0000 0.0000
0.0000 4.7747 0.0000
-1.9637 0.0000 5.6364
Hg Nd Pd Sm
1 1 1 1
Direct
0.4186 0.0000 0.8371
0.8586 0.5000 0.7172
0.5837 0.5000 0.1674
0.1391 0.0000 0.2782
```

Computed properties:
M_tot: 0.0 μB per cell
symmetry: Amm2 (38)

Which one sits at the top of the stability order? run ii does.

Run i
The following is a DFT calculation (PBE) of a relaxed PmNd2Hg crystal.

Geometry as POSCAR:
```
PmNd2Hg
1.0
3.7364 0.0000 0.0000
1.8682 3.2358 0.0000
1.8682 1.0786 10.8809
Nd Hg Pm
2 1 1
Direct
0.0756 0.0756 0.7731
0.2578 0.2578 0.2267
0.6667 0.6667 0.9998
0.4998 0.4998 0.5005
```

Computed properties:
M_tot: 0.0 μB per cell
symmetry: R3m (160)

Run ii
The following is a DFT calculation (PBE) of a relaxed PmNd2Hg crystal.

Geometry as POSCAR:
```
PmNd2Hg
1.0
-3.8360 -4.0212 -0.1246
1.5063 -5.3016 0.7248
-1.3830 -2.6679 4.6766
Hg Nd Pm
1 2 1
Direct
0.0000 0.0000 0.0000
0.7500 0.7500 0.7500
0.2500 0.2500 0.2500
0.5000 0.5000 0.5000
```

Computed properties:
M_tot: 0.0 μB per cell
symmetry: Fm-3m (225)

Which one sits at the top of the stability order? run i does.

Run i
The following is a DFT calculation (PBE) of a relaxed PmNd2Hg crystal.

Geometry as POSCAR:
```
PmNd2Hg
1.0
-3.5906 -1.0323 -0.2782
0.6715 -2.9360 2.2281
-2.0033 5.0221 7.2214
Nd Hg Pm
2 1 1
Direct
0.0000 0.0000 0.2212
0.0000 0.0000 0.7788
0.5000 0.5000 0.0000
0.5000 0.5000 0.5000
```

Computed properties:
M_tot: 0.0 μB per cell
symmetry: P4/mmm (123)

Run ii
The following is a DFT calculation (PBE) of a relaxed PmNd2Hg crystal.

Geometry as POSCAR:
```
PmNd2Hg
1.0
-2.2345 3.6249 2.5073
-4.0232 -2.8233 0.4962
1.7965 -1.8170 4.2278
Nd Pm Hg
2 1 1
Direct
0.0000 0.5000 0.0000
0.0000 0.0000 0.5000
0.5000 0.5000 0.5000
0.5000 0.0000 0.0000
```

Computed properties:
M_tot: 0.0 μB per cell
symmetry: P4/mmm (123)

Which one sits at the top of the stability order? run i does.

Run i
The following is a DFT calculation (PBE) of a relaxed PmNd3Hg2 crystal.

Geometry as POSCAR:
```
PmNd3Hg2
1.0
-5.6179 1.5497 -4.5112
-4.2646 -5.3330 3.4788
2.4725 7.0208 5.3526
Nd Hg Pm
6 4 2
Direct
0.5000 0.7500 0.0000
0.5000 0.2500 0.0000
0.7724 0.5224 0.5448
0.2276 0.4776 0.4552
0.7724 0.0224 0.5448
0.2276 0.9776 0.4552
0.8383 0.1390 0.2781
0.4398 0.6390 0.2781
0.1617 0.8610 0.7219
0.5602 0.3610 0.7219
0.0000 0.0000 0.0000
0.0000 0.5000 0.0000
```

Computed properties:
M_tot: 0.0 μB per cell
symmetry: Ibam (72)

Run ii
The following is a DFT calculation (PBE) of a relaxed PmNd3Hg2 crystal.

Geometry as POSCAR:
```
PmNd3Hg2
1.0
-3.2047 -2.7045 -3.2210
1.7191 -6.1050 3.4157
-7.3114 1.3684 6.1255
Hg Nd Pm
4 6 2
Direct
0.0000 0.2673 0.6485
0.0000 0.7673 0.3515
0.5000 0.7330 0.8503
0.5000 0.2330 0.1497
0.5000 0.6725 0.1741
0.0000 0.9861 0.0559
0.5000 0.1725 0.8259
0.0000 0.4861 0.9441
0.0000 0.3272 0.3271
0.0000 0.8272 0.6729
0.5000 0.5139 0.5559
0.5000 0.0139 0.4441
```

Computed properties:
M_tot: 0.0 μB per cell
symmetry: Pmc2_1 (26)

Which one sits at the top of the stability order? run ii does.

Run i
The following is a DFT calculation (PBE) of a relaxed Pm2NdHg8 crystal.

Geometry as POSCAR:
```
Pm2NdHg8
1.0
5.0689 0.0000 0.0000
0.0000 7.3337 0.1630
-2.5344 -2.9611 7.5470
Hg Pm Nd
8 2 1
Direct
0.8482 0.8254 0.6964
0.0226 0.7273 0.0452
0.3275 0.0999 0.6549
0.9774 0.2727 0.9548
0.4055 0.5421 0.8110
0.6725 0.9001 0.3451
0.5945 0.4579 0.1890
0.1518 0.1746 0.3036
0.2096 0.6523 0.4193
0.7904 0.3477 0.5807
0.5000 0.0000 0.0000
```

Computed properties:
M_tot: 0.0 μB per cell
symmetry: C2/m (12)

Run ii
The following is a DFT calculation (PBE) of a relaxed Pm2NdHg8 crystal.

Geometry as POSCAR:
```
Pm2NdHg8
1.0
-3.6761 0.8037 -3.6097
-0.5024 -7.3581 -1.1266
-3.1574 2.8328 7.6123
Hg Pm Nd
8 2 1
Direct
0.8424 0.8426 0.6848
0.0000 0.7105 0.9999
0.1576 0.1574 0.3152
0.3516 0.1399 0.7033
0.0000 0.2895 0.0001
0.3515 0.5633 0.7030
0.6485 0.4367 0.2970
0.6484 0.8601 0.2967
0.1915 0.6916 0.3830
0.8085 0.3084 0.6170
0.5000 0.0000 0.0000
```

Computed properties:
M_tot: 0.0 μB per cell
symmetry: Immm (71)

Which one sits at the top of the stability order? run i does.

Run i
The following is a DFT calculation (PBE) of a relaxed Pm6Nd2Hg crystal.

Geometry as POSCAR:
```
Pm6Nd2Hg
1.0
-2.4468 1.7110 2.0004
-2.5205 -8.3902 4.0931
7.3256 5.4613 4.2840
Hg Nd Pm
1 2 6
Direct
0.0000 0.0000 0.0000
0.5005 0.3248 0.6496
0.4995 0.6752 0.3504
0.9997 0.6640 0.6736
0.9997 0.0096 0.6736
0.0003 0.9904 0.3264
0.5000 0.2882 0.0000
0.0003 0.3360 0.3264
0.5000 0.7118 0.0000
```

Computed properties:
M_tot: 0.0 μB per cell
symmetry: Cmmm (65)

Run ii
The following is a DFT calculation (PBE) of a relaxed Pm6Nd2Hg crystal.

Geometry as POSCAR:
```
Pm6Nd2Hg
1.0
3.7632 0.0000 0.0000
0.0000 8.7388 -4.0240
0.0000 -0.8847 9.5797
Pm Hg Nd
6 1 2
Direct
0.5000 0.0000 0.6188
0.0000 0.2676 0.0000
0.5000 0.3812 0.3812
0.5000 0.6188 0.0000
0.0000 0.7324 0.7324
0.0000 0.0000 0.2676
0.5000 0.0000 0.0000
0.0000 0.3333 0.6667
0.0000 0.6667 0.3333
```

Computed properties:
M_tot: 0.0 μB per cell
symmetry: P-62m (189)

Which one sits at the top of the stability order? run ii does.